#i
The following is a PBE-GGA calculation of a geometry-optimized Mg2AgHg4 structure, from Alexandria.

a = 14.5474 Å, b = 3.5948 Å, c = 6.9350 Å
α = 90.00°, β = 116.91°, γ = 90.00°
Space group C2/m (No. 12)
One atom of each set of equivalent atoms:
Mg  0.2231  0.0000  0.1809 [4 per cell]
Ag  0.0000  0.0000  0.0000 [2 per cell]
Hg  0.0984  0.0000  0.7164 [4 per cell]
Hg  0.1183  0.5000  0.3627 [4 per cell]


#ii
The following is a PBE-GGA calculation of a geometry-optimized Mg2AgHg4 structure, from Alexandria.

a = 19.1908 Å, b = 8.7853 Å, c = 8.7993 Å
α = 90.00°, β = 117.23°, γ = 90.00°
Space group C2/m (No. 12)
One atom of each set of equivalent atoms:
Mg  0.0042  0.2474  0.2543 [8 per cell]
Mg  0.2452  0.0000  0.2481 [4 per cell]
Mg  0.2458  0.0000  0.7431 [4 per cell]
Ag  0.0000  0.5000  0.0000 [2 per cell]
Ag  0.0000  0.5000  0.5000 [2 per cell]
Ag  0.2500  0.2500  0.0000 [4 per cell]
Hg  0.0000  0.0000  0.0000 [2 per cell]
Hg  0.0000  0.0000  0.5000 [2 per cell]
Hg  0.1180  0.5000  0.3680 [4 per cell]
Hg  0.1250  0.2677  0.1073 [8 per cell]
Hg  0.1251  0.2682  0.6433 [8 per cell]
Hg  0.1319  0.0000  0.8816 [4 per cell]
Hg  0.2500  0.2500  0.5000 [4 per cell]


Which is most stable, and by how much? #i, by 3.3 kJ/mol of atoms.